Density functional theory data (PBE) for a geometry-optimized Cs3BH6 structure.

```
data_Cs3BH6
_cell_length_a 10.0453
_cell_length_b 5.7887
_cell_length_c 7.0080
_cell_angle_alpha 90.00
_cell_angle_beta 118.23
_cell_angle_gamma 90.00
_symmetry_space_group_name_H-M 'C 1 2/m 1'
_symmetry_Int_Tables_number 12
_symmetry_space_group_name_Hall '-C 2y'
loop_
_atom_site_label
_atom_site_type_symbol
_atom_site_fract_x
_atom_site_fract_y
_atom_site_fract_z
_atom_site_occupancy
Cs1 Cs 0.0000 0.0000 0.0000 1
Cs2 Cs 0.2209 0.0000 0.6633 1
B1 B 0.0000 0.5000 0.5000 1
H1 H 0.0147 0.3225 0.3655 1
H2 H 0.1646 0.5000 0.6369 1
```

Calculated values
Total moment (μB per atom): 0.000
Raw total energy (eV/atom): -2.870